[1]
TcSb2IrBr: relaxed, PBE.

Unit cell a=5.319 b=4.470 c=5.319 alpha=90.00 beta=90.00 gamma=90.00
Fractional coordinates of all 5 atoms:
Tc 0.000 0.500 0.000
Ir 0.500 0.500 0.500
Br 0.000 0.000 0.000
Sb 0.000 0.000 0.500
Sb 0.500 0.000 0.000

Output
Formation energy without anion corrections   1905 meV per atom
Fermi-level density of states   0.983 states/eV/atom
Size of the total moment   0.00 μB per formula unit
Space group   P4/mmm, No. 123
E   -19.62 eV for the cell shown


[2]
SbTe2IrBr: relaxed, PBE.

Unit cell a=5.275 b=5.275 c=5.320 alpha=90.00 beta=90.00 gamma=90.00
Fractional coordinates of all 5 atoms:
Te 0.500 0.000 0.000
Sb 0.000 0.000 0.500
Te 0.000 0.500 0.000
Ir 0.000 0.000 0.000
Br 0.500 0.500 0.500

Output
Formation energy without anion corrections   418 meV per atom
Fermi-level density of states   1.350 states/eV/atom
Offset from the most stable computed form   0 kJ/mol of formula units
Size of the total moment   0.00 μB per formula unit
Space group   P4/mmm, No. 123
E   -18.85 eV for the cell shown


Repeat the first record exactly.
TcSb2IrBr: relaxed, PBE.

Unit cell a=5.319 b=4.470 c=5.319 alpha=90.00 beta=90.00 gamma=90.00
Fractional coordinates of all 5 atoms:
Tc 0.000 0.500 0.000
Ir 0.500 0.500 0.500
Br 0.000 0.000 0.000
Sb 0.000 0.000 0.500
Sb 0.500 0.000 0.000

Output
Formation energy without anion corrections   1905 meV per atom
Fermi-level density of states   0.983 states/eV/atom
Size of the total moment   0.00 μB per formula unit
Space group   P4/mmm, No. 123
E   -19.62 eV for the cell shown